An optimized crystal structure of Hf2VCd. Source: the Alexandria database, functional PBE.

Its final energy is -87.75 eV for the cell shown.

The structure belongs to space group R-3m (No. 166, hexagonal axes); the cell edges are 3.1563, 3.1563 and 28.4038 Å and the angles 90.00°, 90.00° and 120.00°. The asymmetric unit holds Hf at (0.0000, 0.0000, 0.2419), V at (0.0000, 0.0000, 0.5000) and Cd at (0.0000, 0.0000, 0.0000).

---

An optimized crystal structure of Tb12Tm5Zr2. Source: the Alexandria database, functional PBE.

Its final energy is -183.40 eV for the cell shown.

The structure belongs to space group C2/m (No. 12); the cell edges are 17.965, 7.350 and 9.489 Å and the angles 90.00°, 108.89° and 90.00°. The asymmetric unit holds Tb at (0.006, 0.000, 0.184), Tb at (0.018, 0.500, 0.691), Tb at (0.157, 0.254, 0.379), Tb at (0.158, 0.252, 0.009), Tm at (0.000, 0.500, 0.000), Tm at (0.184, 0.000, 0.710), Tm at (0.201, 0.500, 0.711) and Zr at (0.000, 0.175, 0.500).

---

An optimized crystal structure of LaFeTc. Source: the Alexandria database, functional PBE.

The energy above the most stable polymorph in this dataset comes out at 0.00 eV per formula unit. Its final energy is -23.33 eV for the cell shown.

The structure belongs to space group P3m1 (No. 156); the cell edges are 3.9302, 3.9302 and 4.7479 Å and the angles 90.00°, 90.00° and 120.00°. The asymmetric unit holds La at (0.0000, 0.0000, 0.0000), Fe at (0.3333, 0.6667, 0.5375) and Tc at (0.6667, 0.3333, 0.4705).

---

An optimized crystal structure of MgMo3Pb. Source: the Alexandria database, functional PBE.

The energy above the most stable polymorph in this dataset comes out at 0.00 eV per formula unit. Its final energy is -28.05 eV for the cell shown.

The structure belongs to space group Pm-3m (No. 221); the cell edges are 4.675, 4.675 and 4.675 Å and the angles 90.00°, 90.00° and 90.00°. The asymmetric unit holds Mg at (0.000, 0.000, 0.000), Mo at (0.000, 0.000, 0.500) and Pb at (0.500, 0.500, 0.500).

---

An optimized crystal structure of YSi2HgBr. Source: the Alexandria database, functional PBE.

Its final energy is -15.33 eV for the cell shown. The value obtained for the formation energy from raw total energies is 3.954 eV per formula unit.

The structure belongs to space group P4/mmm (No. 123); the cell edges are 5.506, 5.506 and 6.066 Å and the angles 90.00°, 90.00° and 90.00°. The asymmetric unit holds Y at (0.000, 0.000, 0.000), Si at (0.000, 0.500, 0.000), Hg at (0.000, 0.000, 0.500) and Br at (0.500, 0.500, 0.500).

---

An optimized crystal structure of KSr2Cd2. Source: the Alexandria database, functional PBE.

The energy above the most stable polymorph in this dataset comes out at 0.79 eV per formula unit. Its final energy is -12.81 eV for the cell shown.

The structure belongs to space group I4/mmm (No. 139); the cell edges are 4.371, 4.371 and 24.222 Å and the angles 90.00°, 90.00° and 90.00°. The asymmetric unit holds K at (0.000, 0.000, 0.000), Sr at (0.000, 0.000, 0.361) and Cd at (0.000, 0.500, 0.250).

---

An optimized crystal structure of ZnAu2Se. Source: the Alexandria database, functional PBE.

Its final energy is -22.38 eV for the cell shown. The value obtained for the formation energy from raw total energies is 0.122 eV per formula unit.

The structure belongs to space group Cm (No. 8); the cell edges are 12.688, 2.963 and 4.392 Å and the angles 90.00°, 90.69° and 90.00°. The asymmetric unit holds Zn at (0.000, 0.000, 0.000), Au at (0.044, 0.500, 0.502), Au at (0.258, 0.000, 0.495) and Se at (0.294, 0.500, 0.996).

---

An optimized crystal structure of Mg2CrRu. Source: the Alexandria database, functional PBE.

The energy above the most stable polymorph in this dataset comes out at 2.26 eV per formula unit. Its final energy is -78.59 eV for the cell shown.

The structure belongs to space group Fm-3m (No. 225); the cell edges are 6.275, 6.275 and 6.275 Å and the angles 90.00°, 90.00° and 90.00°. The asymmetric unit holds Mg at (0.250, 0.250, 0.250), Cr at (0.000, 0.000, 0.000) and Ru at (0.000, 0.000, 0.500).

---

An optimized crystal structure of ZrBe2Os2. Source: the Alexandria database, functional PBE.

The energy above the most stable polymorph in this dataset comes out at 1.49 eV per formula unit. Its final energy is -77.06 eV for the cell shown.

The structure belongs to space group P4/mbm (No. 127); the cell edges are 7.099, 7.099 and 2.697 Å and the angles 90.00°, 90.00° and 90.00°. The asymmetric unit holds Zr at (0.000, 0.000, 0.000), Be at (0.157, 0.343, 0.500) and Os at (0.136, 0.636, 0.000).

---

An optimized crystal structure of FeCS2Cl. Source: the Alexandria database, functional PBE.

The energy above the most stable polymorph in this dataset comes out at 0.00 eV per formula unit. Its final energy is -21.45 eV for the cell shown. The value obtained for the formation energy from raw total energies is 6.339 eV per formula unit.

The structure belongs to space group P4/mmm (No. 123); the cell edges are 4.039, 4.039 and 4.637 Å and the angles 90.00°, 90.00° and 90.00°. The asymmetric unit holds Fe at (0.000, 0.000, 0.000), C at (0.500, 0.500, 0.500), S at (0.000, 0.500, 0.500) and Cl at (0.500, 0.500, 0.000).

---

An optimized crystal structure of Ni3Sn. Source: the Alexandria database, functional PBE.

Its final energy is -22.08 eV for the cell shown.

The structure belongs to space group Pm-3m (No. 221); the cell edges are 3.733, 3.733 and 3.733 Å and the angles 90.00°, 90.00° and 90.00°. The asymmetric unit holds Ni at (0.000, 0.000, 0.500) and Sn at (0.500, 0.500, 0.500).

---

An optimized crystal structure of CoNiIrRh2. Source: the Alexandria database, functional PBE.

Its final energy is -29.57 eV for the cell shown.

The structure belongs to space group P4/mmm (No. 123); the cell edges are 4.407, 4.407 and 4.447 Å and the angles 90.00°, 90.00° and 90.00°. The asymmetric unit holds Co at (0.000, 0.000, 0.000), Ni at (0.500, 0.500, 0.500), Ir at (0.000, 0.000, 0.500) and Rh at (0.000, 0.500, 0.000).

---

An optimized crystal structure of SnPO4. Source: the Alexandria database, functional PBE.

Its final energy is -80.09 eV for the cell shown. The value obtained for the formation energy from raw total energies is -10.800 eV per formula unit.

The structure belongs to space group Pmn2_1 (No. 31); the cell edges are 6.682, 4.862 and 4.819 Å and the angles 90.00°, 90.00° and 90.00°. The asymmetric unit holds Sn at (0.000, 0.105, 0.000), P at (0.000, 0.676, 0.448), O at (0.000, 0.368, 0.381), O at (0.000, 0.712, 0.766) and O at (0.182, 0.832, 0.309).

---

An optimized crystal structure of ZrTi2NiAs. Source: the Alexandria database, functional PBE.

Its final energy is -28.92 eV for the cell shown.

The structure belongs to space group P4/mmm (No. 123); the cell edges are 4.919, 4.919 and 4.471 Å and the angles 90.00°, 90.00° and 90.00°. The asymmetric unit holds Zr at (0.000, 0.000, 0.000), Ti at (0.000, 0.500, 0.000), Ni at (0.000, 0.000, 0.500) and As at (0.500, 0.500, 0.500).

---

An optimized crystal structure of FeCo8Ni2. Source: the Alexandria database, functional PBE.

Its final energy is -150.20 eV for the cell shown.

The structure belongs to space group C2/m (No. 12); the cell edges are 4.297, 7.417 and 8.044 Å and the angles 90.00°, 90.02° and 90.00°. The asymmetric unit holds Fe at (0.000, 0.000, 0.000), Co at (0.000, 0.334, 0.000), Co at (0.165, 0.164, 0.747), Co at (0.172, 0.500, 0.747) and Ni at (0.000, 0.333, 0.500).

---

An optimized crystal structure of ZnTe4Se. Source: the Alexandria database, functional PBE.

Its final energy is -55.77 eV for the cell shown. The value obtained for the formation energy from raw total energies is 3.383 eV per formula unit.

The structure belongs to space group F-43m (No. 216); the cell edges are 8.892, 8.892 and 8.892 Å and the angles 90.00°, 90.00° and 90.00°. The asymmetric unit holds Zn at (0.000, 0.000, 0.000), Te at (0.123, 0.123, 0.377) and Se at (0.250, 0.250, 0.750).

---

An optimized crystal structure of KZnAu. Source: the Alexandria database, functional PBE.

The energy above the most stable polymorph in this dataset comes out at 0.08 eV per formula unit. Its final energy is -25.15 eV for the cell shown.

The structure belongs to space group P2_13 (No. 198); the cell edges are 7.080, 7.080 and 7.080 Å and the angles 90.00°, 90.00° and 90.00°. The asymmetric unit holds K at (0.137, 0.137, 0.137), Zn at (0.156, 0.344, 0.656) and Au at (0.084, 0.584, 0.916).

---

An optimized crystal structure of Ca2IrO4. Source: the Alexandria database, functional PBE.

Its final energy is -89.54 eV for the cell shown. The value obtained for the formation energy from raw total energies is -12.071 eV per formula unit.

The structure belongs to space group P2_1/m (No. 11); the cell edges are 6.152, 5.776 and 6.382 Å and the angles 90.00°, 107.97° and 90.00°. The asymmetric unit holds Ca at (0.162, 0.250, 0.031), Ca at (0.244, 0.250, 0.560), Ir at (0.290, 0.750, 0.801), O at (0.030, 0.533, 0.749), O at (0.476, 0.250, 0.339) and O at (0.482, 0.250, 0.920).

---

An optimized crystal structure of LaCd2Si. Source: the Alexandria database, functional PBE.

Its final energy is -35.11 eV for the cell shown. The value obtained for the formation energy from raw total energies is 0.478 eV per formula unit.

The structure belongs to space group R3m (No. 160, hexagonal axes); the cell edges are 3.4606, 3.4606 and 29.0761 Å and the angles 90.00°, 90.00° and 120.00°. The asymmetric unit holds La at (0.0000, 0.0000, 0.0000), Cd at (0.0000, 0.0000, 0.2347), Cd at (0.0000, 0.0000, 0.4854) and Si at (0.0000, 0.0000, 0.7491).

---

An optimized crystal structure of AgHg4F10. Source: the Alexandria database, functional PBE.

Its final energy is -85.57 eV for the cell shown. The value obtained for the formation energy from raw total energies is -20.013 eV per formula unit.

The structure belongs to space group I4/mmm (No. 139); the cell edges are 3.973, 3.973 and 28.061 Å and the angles 90.00°, 90.00° and 90.00°. The asymmetric unit holds Ag at (0.000, 0.000, 0.000), Hg at (0.000, 0.000, 0.199), Hg at (0.000, 0.000, 0.402), F at (0.000, 0.500, 0.048), F at (0.000, 0.500, 0.149) and F at (0.000, 0.500, 0.250).

---

An optimized crystal structure of Sr3U3VN8. Source: the Alexandria database, functional PBE.

Its final energy is -391.46 eV for the cell shown. The value obtained for the formation energy from raw total energies is -15.854 eV per formula unit.

The structure belongs to space group R-3m (No. 166, hexagonal axes); the cell edges are 6.8257, 6.8257 and 17.9157 Å and the angles 90.00°, 90.00° and 120.00°. The asymmetric unit holds Sr at (0.0000, 0.5000, 0.0000), U at (0.0000, 0.5000, 0.5000), V at (0.0000, 0.0000, 0.5000), N at (0.0000, 0.0000, 0.2350) and N at (0.0070, 0.5035, 0.2262).

---

An optimized crystal structure of Na2CaSi. Source: the Alexandria database, functional PBE.

Its final energy is -41.41 eV for the cell shown. The value obtained for the formation energy from raw total energies is -0.289 eV per formula unit.

The structure belongs to space group F-43m (No. 216); the cell edges are 7.343, 7.343 and 7.343 Å and the angles 90.00°, 90.00° and 90.00°. The asymmetric unit holds Na at (0.000, 0.000, 0.000), Na at (0.250, 0.250, 0.250), Ca at (0.000, 0.000, 0.500) and Si at (0.250, 0.250, 0.750).

---

An optimized crystal structure of TlReSb3. Source: the Alexandria database, functional PBE.

The energy above the most stable polymorph in this dataset comes out at 0.00 eV per formula unit. Its final energy is -24.43 eV for the cell shown. The value obtained for the formation energy from raw total energies is 2.749 eV per formula unit.

The structure belongs to space group Pm-3m (No. 221); the cell edges are 5.265, 5.265 and 5.265 Å and the angles 90.00°, 90.00° and 90.00°. The asymmetric unit holds Tl at (0.000, 0.000, 0.000), Re at (0.500, 0.500, 0.500) and Sb at (0.000, 0.500, 0.500).